# 1
Entry from the Alexandria database: a relaxed structure of ZrInSe (PBEsol).

The structure belongs to space group I4mm (No. 107); the cell edges are 3.449, 3.449 and 10.810 Å and the angles 90.00°, 90.00° and 90.00°. The distinct sites, in fractional coordinates, are Zr at (0.000, 0.000, 0.000), In at (0.000, 0.000, 0.689) and Se at (0.000, 0.000, 0.395).

The calculation puts the formation energy without anion corrections at -0.774 eV/atom. The total energy comes out at -6.08 eV per atom. Its energy above the most stable polymorph in this dataset is 0 meV/atom.



# 2
Entry from the Alexandria database: a relaxed structure of Ca4MgIr (PBEsol).

The structure belongs to space group F-43m (No. 216); the cell edges are 8.577, 8.577 and 8.577 Å and the angles 90.00°, 90.00° and 90.00°. The distinct sites, in fractional coordinates, are Ca at (0.123, 0.123, 0.377), Mg at (0.000, 0.000, 0.000) and Ir at (0.250, 0.250, 0.750).

The total energy comes out at -2.66 eV per atom.



# 3
Entry from the Alexandria database: a relaxed structure of InSiOs2 (PBEsol).

The structure belongs to space group Fm-3m (No. 225); the cell edges are 6.150, 6.150 and 6.150 Å and the angles 90.00°, 90.00° and 90.00°. The distinct sites, in fractional coordinates, are In at (0.000, 0.000, 0.000), Si at (0.000, 0.000, 0.500) and Os at (0.250, 0.250, 0.250).

The calculation puts the formation energy without anion corrections at 0.242 eV/atom. The total energy comes out at -8.05 eV per atom. Its energy above the most stable polymorph in this dataset is 53 meV/atom.



# 4
Entry from the Alexandria database: a relaxed structure of In (PBEsol).

The structure belongs to space group I4_1/amd (No. 141, origin choice 2); the cell edges are 5.847, 5.847 and 3.083 Å and the angles 90.00°, 90.00° and 90.00°. The distinct sites, in fractional coordinates, are In at (0.000, 0.250, 0.375).

The total energy comes out at -2.92 eV per atom. Its energy above the most stable polymorph in this dataset is 66 meV/atom.



# 5
Entry from the Alexandria database: a relaxed structure of ZrHg2Pd2 (PBEsol).

The structure belongs to space group I4/mmm (No. 139); the cell edges are 3.804, 3.804 and 13.471 Å and the angles 90.00°, 90.00° and 90.00°. The distinct sites, in fractional coordinates, are Zr at (0.000, 0.000, 0.000), Hg at (0.000, 0.500, 0.250) and Pd at (0.000, 0.000, 0.406).

The total energy comes out at -4.57 eV per atom.



# 6
Entry from the Alexandria database: a relaxed structure of La2Ta3S2O8 (PBEsol).

The structure belongs to space group Pnnm (No. 58); the cell edges are 9.861, 11.700 and 7.631 Å and the angles 90.00°, 90.00° and 90.00°. The distinct sites, in fractional coordinates, are La at (0.207, 0.164, 0.000), La at (0.230, 0.154, 0.500), Ta at (0.000, 0.500, 0.286), Ta at (0.136, 0.919, 0.250), S at (0.018, 0.345, 0.500), S at (0.020, 0.368, 0.000), O at (0.057, 0.103, 0.256), O at (0.133, 0.947, 0.000), O at (0.151, 0.950, 0.500), O at (0.197, 0.525, 0.266) and O at (0.214, 0.775, 0.249).

The calculation puts the formation energy without anion corrections at -2.839 eV/atom. The total energy comes out at -9.45 eV per atom.



# 7
Entry from the Alexandria database: a relaxed structure of SrAl2H (PBEsol).

The structure belongs to space group Fd-3m (No. 227, origin choice 2); the cell edges are 8.465, 8.465 and 8.465 Å and the angles 90.00°, 90.00° and 90.00°. The distinct sites, in fractional coordinates, are Sr at (0.125, 0.125, 0.125), Al at (0.000, 0.000, 0.500) and H at (0.125, 0.125, 0.625).

The total energy comes out at -3.32 eV per atom. Its energy above the most stable polymorph in this dataset is 0 meV/atom.



# 8
Entry from the Alexandria database: a relaxed structure of LaMg2Se (PBEsol).

The structure belongs to space group R-3m (No. 166, hexagonal axes); the cell edges are 3.6970, 3.6970 and 27.3306 Å and the angles 90.00°, 90.00° and 120.00°. The distinct sites, in fractional coordinates, are La at (0.0000, 0.0000, 0.0000), Mg at (0.0000, 0.0000, 0.2264) and Se at (0.0000, 0.0000, 0.5000).

The calculation puts the formation energy without anion corrections at -0.439 eV/atom. The total energy comes out at -3.60 eV per atom.



# 9
Entry from the Alexandria database: a relaxed structure of TiSiPt (PBEsol).

The structure belongs to space group Pnma (No. 62); the cell edges are 6.296, 3.775 and 7.321 Å and the angles 90.00°, 90.00° and 90.00°. The distinct sites, in fractional coordinates, are Ti at (0.028, 0.250, 0.175), Si at (0.244, 0.750, 0.376) and Pt at (0.148, 0.250, 0.564).

The calculation puts the formation energy without anion corrections at -1.073 eV/atom. The total energy comes out at -8.08 eV per atom.



# 10
Entry from the Alexandria database: a relaxed structure of LaMgZn (PBEsol).

The structure belongs to space group P-6m2 (No. 187); the cell edges are 4.9318, 4.9318 and 3.4276 Å and the angles 90.00°, 90.00° and 120.00°. The distinct sites, in fractional coordinates, are La at (0.0000, 0.0000, 0.0000), Mg at (0.3333, 0.6667, 0.5000) and Zn at (0.6667, 0.3333, 0.5000).

The total energy comes out at -3.06 eV per atom.



# 11
Entry from the Alexandria database: a relaxed structure of ScSiSb2Te (PBEsol).

The structure belongs to space group P4/mmm (No. 123); the cell edges are 5.365, 5.365 and 5.345 Å and the angles 90.00°, 90.00° and 90.00°. The distinct sites, in fractional coordinates, are Sc at (0.000, 0.000, 0.000), Si at (0.500, 0.500, 0.500), Sb at (0.000, 0.500, 0.000) and Te at (0.000, 0.000, 0.500).

The calculation puts the formation energy without anion corrections at 0.519 eV/atom. The total energy comes out at -4.48 eV per atom.



# 12
Entry from the Alexandria database: a relaxed structure of InPb2 (PBEsol).

The structure belongs to space group Fd-3m (No. 227, origin choice 2); the cell edges are 14.068, 14.068 and 14.068 Å and the angles 90.00°, 90.00° and 90.00°. The distinct sites, in fractional coordinates, are In at (0.035, 0.035, 0.215), Pb at (0.000, 0.000, 0.000) and Pb at (0.057, 0.375, 0.875).

The total energy comes out at -3.59 eV per atom.